A geometry-optimized Ti2WCl2 structure. Source: Alexandria via LeMat-Bulk, functional PBE.

Geometry as extended XYZ:
```
10
Lattice="7.589 0.000 0.000 0.000 7.589 0.000 0.000 0.000 2.874" Properties=species:S:1:pos:R:3 pbc="T T T"
Ti 1.374 2.420 0.000
Ti 2.420 6.215 0.000
Ti 5.168 1.374 0.000
Ti 6.215 5.168 0.000
W 0.000 0.000 0.000
W 3.794 3.794 0.000
Cl 0.962 4.757 1.437
Cl 2.832 0.962 1.437
Cl 4.757 6.626 1.437
Cl 6.626 2.832 1.437
```

Properties
VASP energy, eV per atom: -6.16
Space group: No. 127

A geometry-optimized TiWCl3 structure. Source: Alexandria via LeMat-Bulk, functional PBE.

Geometry as extended XYZ:
```
5
Lattice="4.872 0.000 0.000 0.000 4.872 0.000 0.000 0.000 4.872" Properties=species:S:1:pos:R:3 pbc="T T T"
Ti 0.000 0.000 0.000
W 2.436 2.436 2.436
Cl 0.000 2.436 2.436
Cl 2.436 0.000 2.436
Cl 2.436 2.436 0.000
```

Properties
VASP energy, eV per atom: -4.73
Space group: No. 221

A geometry-optimized TiWCl3 structure. Source: Alexandria via LeMat-Bulk, functional PBE.

Geometry as extended XYZ:
```
5
Lattice="4.875 0.000 0.000 0.000 4.875 0.000 0.000 0.000 4.875" Properties=species:S:1:pos:R:3 pbc="T T T"
Ti 0.000 0.000 0.000
W 2.437 2.437 2.437
Cl 0.000 0.000 2.437
Cl 0.000 2.437 0.000
Cl 2.437 0.000 0.000
```

Properties
VASP energy, eV per atom: -4.87
Space group: No. 221

A geometry-optimized YTiCl structure. Source: Alexandria via LeMat-Bulk, functional PBE.

Geometry as extended XYZ:
```
6
Lattice="3.513 0.000 0.000 -1.593 3.981 0.000 -1.693 -0.818 11.525" Properties=species:S:1:pos:R:3 pbc="T T T"
Y 0.000 0.000 0.000
Y 0.021 0.971 4.987
Ti 0.055 3.433 2.625
Ti 1.891 1.533 2.312
Cl -1.715 2.545 6.564
Cl 0.080 0.771 9.965
```

Properties
VASP energy, eV per atom: -6.14
Space group: No. 1

A geometry-optimized YTi3Cl structure. Source: Alexandria via LeMat-Bulk, functional PBE.

Geometry as extended XYZ:
```
5
Lattice="4.635 0.000 0.000 0.000 4.635 0.000 0.000 0.000 4.635" Properties=species:S:1:pos:R:3 pbc="T T T"
Y 0.000 0.000 0.000
Ti 0.000 2.317 2.317
Ti 2.317 0.000 2.317
Ti 2.317 2.317 0.000
Cl 2.317 2.317 2.317
```

Properties
VASP energy, eV per atom: -6.46
Space group: No. 221

A geometry-optimized YTiCl2 structure. Source: Alexandria via LeMat-Bulk, functional PBE.

Geometry as extended XYZ:
```
16
Lattice="4.601 0.000 0.000 0.000 4.601 0.000 0.000 0.000 17.009" Properties=species:S:1:pos:R:3 pbc="T T T"
Y 0.000 0.000 0.000
Y 0.000 2.301 4.252
Y 2.301 0.000 12.757
Y 2.301 2.301 8.504
Ti 0.000 0.000 8.504
Ti 0.000 2.301 12.757
Ti 2.301 0.000 4.252
Ti 2.301 2.301 0.000
Cl 1.042 1.150 10.631
Cl 1.150 3.342 14.883
Cl 1.150 3.559 6.378
Cl 1.259 1.150 2.126
Cl 3.342 3.451 2.126
Cl 3.451 1.042 6.378
Cl 3.451 1.259 14.883
Cl 3.559 3.451 10.631
```

Properties
VASP energy, eV per atom: -5.24
Space group: No. 122

A geometry-optimized YTi3Cl structure. Source: Alexandria via LeMat-Bulk, functional PBE.

Geometry as extended XYZ:
```
5
Lattice="5.092 0.000 0.000 0.000 5.092 0.000 0.000 0.000 5.092" Properties=species:S:1:pos:R:3 pbc="T T T"
Y 0.000 0.000 0.000
Ti 0.000 0.000 2.546
Ti 0.000 2.546 0.000
Ti 2.546 0.000 0.000
Cl 2.546 2.546 2.546
```

Properties
VASP energy, eV per atom: -4.83
Space group: No. 221

A geometry-optimized YTiCl2 structure. Source: Alexandria via LeMat-Bulk, functional PBE.

Geometry as extended XYZ:
```
12
Lattice="3.366 0.000 0.000 -1.683 2.915 0.000 0.000 0.000 26.880" Properties=species:S:1:pos:R:3 pbc="T T T"
Y 0.000 0.000 0.000
Y 0.000 1.944 17.920
Y 1.683 0.972 8.960
Ti 0.000 0.000 13.440
Ti 0.000 1.944 4.480
Ti 1.683 0.972 22.400
Cl 0.000 0.000 10.970
Cl 0.000 0.000 15.910
Cl 0.000 1.944 2.010
Cl 0.000 1.944 6.950
Cl 1.683 0.972 19.930
Cl 1.683 0.972 24.870
```

Properties
VASP energy, eV per atom: -5.40
Space group: No. 166

Formation energy from raw total energies readings, ordered: 1.660; 2.754; 2.021; -2.213; -0.320; -2.924; 7.856; -3.563 eV per formula unit